1.
ThGa4Cu2Ir: optimized geometry, PBE.

It has space group R-3m (No. 166, hexagonal axes), with a = 4.2317 Å, b = 4.2317 Å, c = 26.7417 Å, α = 90.00°, β = 90.00° and γ = 120.00°. Symmetry generates all atoms from Th at (0.0000, 0.0000, 0.0000), Ga at (0.0000, 0.0000, 0.1299), Ga at (0.0000, 0.0000, 0.4027), Cu at (0.0000, 0.0000, 0.2431) and Ir at (0.0000, 0.0000, 0.5000).

For the calculated total energy, the calculation gives -4.881 eV per atom. Its volume is 17.28 A^3/atom. The value obtained for the energy relative to the elements is -0.31 eV/atom.



2.
Tl2CrCu2Cl6: optimized geometry, PBE.

It has space group C2/m (No. 12), with a = 13.437 Å, b = 6.873 Å, c = 7.140 Å, α = 90.00°, β = 120.19° and γ = 90.00°. Symmetry generates all atoms from Tl at (0.237, 0.000, 0.211), Cr at (0.000, 0.000, 0.500), Cu at (0.069, 0.500, 0.256), Cl at (0.043, 0.241, 0.771) and Cl at (0.246, 0.500, 0.317).

For the calculated total energy, the calculation gives -3.823 eV per atom. The calculation puts the uncorrected formation energy at -765.7 meV per atom. Its volume is 25.91 A^3/atom.